No. 1
Entry from Alexandria: an optimized crystal structure of Li5Mg4Tl (PBE).

Values from the calculation:
**ΔE_f**: 0.00 eV/atom
**Distance to the lowest polymorph of the same formula**: 99 meV/atom

Unit cell a=6.9011 b=6.9011 c=6.9011 alpha=98.11 beta=98.11 gamma=135.89
Fractional positions:
Li1 0.0000 0.0000 0.0000
Li2 0.5702 0.5702 0.6318
Li3 0.5702 0.9383 0.0000
Li4 0.9383 0.5702 0.0000
Li5 0.9383 0.9383 0.3682
Mg1 0.2563 0.5818 0.3255
Mg2 0.2563 0.9309 0.6745
Mg3 0.5818 0.2563 0.3255
Mg4 0.9309 0.2563 0.6745
Tl1 0.4780 0.4780 0.0000


No. 2
Entry from Alexandria: an optimized crystal structure of Li4Mg3Tl2 (PBE).

Values from the calculation:
**ΔE_f**: -0.14 eV/atom
**Distance to the lowest polymorph of the same formula**: 27 meV/atom

Unit cell a=4.8760 b=5.6972 c=7.6113 alpha=77.69 beta=88.44 gamma=65.10
Fractional positions:
Li1 0.1254 0.2596 0.1442
Li2 0.3227 0.8515 0.4878
Li3 0.6773 0.1485 0.5122
Li4 0.8746 0.7404 0.8558
Mg1 0.0000 0.5000 0.5000
Mg2 0.4540 0.6017 0.1802
Mg3 0.5460 0.3983 0.8198
Tl1 0.2259 0.0393 0.8121
Tl2 0.7741 0.9607 0.1879


No. 3
Entry from Alexandria: an optimized crystal structure of Li5Mg4Tl (PBE).

Values from the calculation:
**ΔE_f**: -0.10 eV/atom
**Distance to the lowest polymorph of the same formula**: 0 meV/atom

Unit cell a=3.4813 b=3.4813 c=16.6827 alpha=90.00 beta=90.00 gamma=90.00
Fractional positions:
Li1 0.0000 0.0000 0.0000
Li2 0.0000 0.0000 0.1989
Li3 0.0000 0.0000 0.4019
Li4 0.0000 0.0000 0.5981
Li5 0.0000 0.0000 0.8011
Mg1 0.5000 0.5000 0.0989
Mg2 0.5000 0.5000 0.2973
Mg3 0.5000 0.5000 0.7027
Mg4 0.5000 0.5000 0.9011
Tl1 0.5000 0.5000 0.5000


No. 4
Entry from Alexandria: an optimized crystal structure of Li3MgTl2 (PBE).

Values from the calculation:
**ΔE_f**: -0.18 eV/atom
**Distance to the lowest polymorph of the same formula**: 0 meV/atom

Unit cell a=3.4844 b=3.4844 c=10.1668 alpha=90.00 beta=90.00 gamma=90.00
Fractional positions:
Li1 0.0000 0.0000 0.0000
Li2 0.0000 0.0000 0.3273
Li3 0.0000 0.0000 0.6727
Mg1 0.5000 0.5000 0.5000
Tl1 0.5000 0.5000 0.1709
Tl2 0.5000 0.5000 0.8291